Model i:
DFT (PBE) results for a relaxed AcTbNi4 crystal.

Properties
Magnetization = 0.00 μB/cell
Crystal system = cubic

Lattice parameters (Å, degrees): 7.373 7.373 7.373 90.00 90.00 90.00
Space group F-43m (No. 216)
Symmetry-distinct sites (fractional):
Ac 0.000 0.000 0.000 x4
Tb 0.250 0.250 0.750 x4
Ni 0.124 0.124 0.376 x16

Model ii:
DFT (PBE) results for a relaxed AcTbNi4 crystal.

Properties
Magnetization = 0.00 μB/cell
Crystal system = trigonal

Lattice parameters (Å, degrees): 5.1973 5.1973 8.6860 90.00 90.00 120.00
Space group P-3m1 (No. 164)
Symmetry-distinct sites (fractional):
Ac 0.3333 0.6667 0.0809 x2
Tb 0.3333 0.6667 0.4501 x2
Ni 0.0000 0.0000 0.0000 x1
Ni 0.0000 0.0000 0.5000 x1
Ni 0.1635 0.3269 0.7346 x6

Energy above the most stable structure, in eV/atom: model i 0.000; model ii 0.015